This record from Alexandria via LeMat-Bulk describes MgAgPt2 after structural relaxation. The functional is GGA-PBE.

## Properties
The calculation puts the energy relative to the elements at -436.6 meV per atom. The crystal system is tetragonal. As for the raw total energy: -4.568 eV per atom. The space group is P4/mmm. The calculation puts the volume at 16.216 A^3/atom.

a b c (Å): 2.8581 2.8581 7.9408
angles (deg): 90.00 90.00 90.00
Last column: nearest neighbours and their distance in Å.
Sites, in units of the cell vectors:
Pt 0.0000 0.0000 0.9848  4 Mg 2.75, 4 Pt 2.86, 4 Ag 2.92
Pt 0.0000 0.0000 0.5152  4 Mg 2.75, 4 Pt 2.86, 4 Ag 2.92
Ag 0.5000 0.5000 0.2500  4 Ag 2.86, 8 Pt 2.92
Mg 0.5000 0.5000 0.7500  8 Pt 2.75, 4 Mg 2.86